! CrH SCAN single point on PBEsol structure; values from VASP
&SYSTEM
  ibrav = 0, nat = 2, ntyp = 2
/
ATOMIC_SPECIES
Cr 52.00 Cr.upf
H 1.01 H.upf
CELL_PARAMETERS angstrom
2.637 0.000 0.000
1.319 2.284 0.000
1.319 0.761 2.153
ATOMIC_POSITIONS crystal
Cr 0.000 0.000 0.000
H 0.500 0.500 0.500
! - calculated volume (Å³/atom) = 6.5

***

! Fe2CoW SCAN single point on PBEsol structure; values from VASP
&SYSTEM
  ibrav = 0, nat = 4, ntyp = 3
/
ATOMIC_SPECIES
Co 58.93 Co.upf
Fe 55.84 Fe.upf
W 183.84 W.upf
CELL_PARAMETERS angstrom
-0.438 0.228 -2.491
2.597 -3.027 -0.734
-3.362 -3.165 1.157
ATOMIC_POSITIONS crystal
Co 0.000 0.500 0.500
Fe 0.755 0.000 0.742
Fe 0.245 0.000 0.258
W 0.500 0.500 0.000
! - energy above the lowest structure with this stoichiometry (meV/atom) = 70.8
! - calculated volume (Å³/atom) = 12.1
! - ΔE_f (eV/atom) = 0.10

***

! ReOs2W SCAN single point on PBEsol structure; values from VASP
&SYSTEM
  ibrav = 0, nat = 4, ntyp = 3
/
ATOMIC_SPECIES
Re 186.21 Re.upf
Os 190.23 Os.upf
W 183.84 W.upf
CELL_PARAMETERS angstrom
-1.882 1.694 2.917
2.653 -1.345 2.492
2.108 3.217 -0.508
ATOMIC_POSITIONS crystal
Re 0.500 0.500 0.500
Os 0.000 0.000 0.500
Os 0.000 0.500 0.000
W 0.500 0.000 0.000
! - energy above the lowest structure with this stoichiometry (meV/atom) = 0.0
! - calculated volume (Å³/atom) = 14.5
! - ΔE_f (eV/atom) = 0.02

***

! KCr2Ir SCAN single point on PBEsol structure; values from VASP
&SYSTEM
  ibrav = 0, nat = 4, ntyp = 3
/
ATOMIC_SPECIES
Cr 52.00 Cr.upf
Ir 192.22 Ir.upf
K 39.10 K.upf
CELL_PARAMETERS angstrom
2.701 0.000 0.000
-1.163 2.438 0.000
0.000 0.000 9.481
ATOMIC_POSITIONS crystal
Cr 0.000 0.000 0.935
Cr 0.500 0.500 0.764
Ir 0.000 0.000 0.545
K 0.500 0.500 0.256
! - energy above the lowest structure with this stoichiometry (meV/atom) = 301.3
! - calculated volume (Å³/atom) = 15.6
! - ΔE_f (eV/atom) = 0.70

***

Number 1: VASP energy -21.75 eV per cell. Number 2: VASP energy -122.86 eV per cell. Number 3: VASP energy -284.47 eV per cell. Number 4: VASP energy -113.41 eV per cell.